{
  "formula": "FeCuSiNi",
  "functional": "PBE",
  "state": "relaxed",
  "lattice": [[0.000, 2.802, 2.802], [2.802, 0.000, 2.802], [2.802, 2.802, 0.000]],
  "species": ["Fe", "Cu", "Si", "Ni"],
  "frac_coords": [[0.000, 0.000, 0.000], [0.250, 0.250, 0.250], [0.750, 0.750, 0.750], [0.500, 0.500, 0.500]],
  "formation_energy_uncorrected_ev_per_atom": -0.202,
  "sg": "F-43m, No. 216",
  "crystal_system": "cubic"
}

{
  "formula": "Ta3Te2",
  "functional": "PBE",
  "state": "relaxed",
  "lattice": [[0.000, 6.631, 2.709], [5.972, 0.000, 2.709], [5.972, 6.631, 0.000]],
  "species": ["Ta", "Ta", "Ta", "Ta", "Ta", "Ta", "Te", "Te", "Te", "Te"],
  "frac_coords": [[0.000, 0.000, 0.000], [0.250, 0.250, 0.250], [0.452, 0.749, 0.328], [0.749, 0.452, 0.470], [0.780, 0.922, 0.501], [0.922, 0.780, 0.798], [0.227, 0.463, 0.876], [0.374, 0.815, 0.023], [0.463, 0.227, 0.435], [0.815, 0.374, 0.787]],
  "formation_energy_uncorrected_ev_per_atom": 0.263,
  "sg": "Fdd2, No. 43",
  "crystal_system": "orthorhombic"
}

{
  "formula": "Tc2HPdW",
  "functional": "PBE",
  "state": "relaxed",
  "lattice": [[3.997, 0.000, 0.000], [0.000, 3.997, 0.000], [0.000, 0.000, 3.868]],
  "species": ["Tc", "Tc", "H", "Pd", "W"],
  "frac_coords": [[0.000, 0.500, 0.000], [0.500, 0.000, 0.000], [0.000, 0.000, 0.000], [0.000, 0.000, 0.500], [0.500, 0.500, 0.500]],
  "sg": "P4/mmm, No. 123",
  "polymorph_energy_ev_per_atom": 0.000,
  "crystal_system": "tetragonal"
}

{
  "formula": "Cs2Na2Au",
  "functional": "PBE",
  "state": "relaxed",
  "lattice": [[2.619, 1.512, 11.907], [-2.619, 1.512, 11.907], [0.000, -3.024, 11.907]],
  "species": ["Cs", "Cs", "Na", "Na", "Au"],
  "frac_coords": [[0.071, 0.071, 0.071], [0.929, 0.929, 0.929], [0.185, 0.185, 0.185], [0.815, 0.815, 0.815], [0.500, 0.500, 0.500]],
  "delta_e_f_kcal_per_mol_atoms": -2.41,
  "sg": "R-3m, No. 166",
  "polymorph_energy_ev_per_atom": 0.000,
  "crystal_system": "trigonal"
}

{
  "formula": "RuCl2F5",
  "functional": "PBE",
  "state": "relaxed",
  "lattice": [[4.032, 0.000, 0.000], [1.987, 6.281, 0.000], [1.847, -0.150, 6.804]],
  "species": ["Ru", "Cl", "Cl", "F", "F", "F", "F", "F"],
  "frac_coords": [[0.000, 0.000, 0.000], [0.227, 0.388, 0.445], [0.773, 0.612, 0.555], [0.116, 0.710, 0.059], [0.160, 0.929, 0.728], [0.500, 0.000, 0.000], [0.840, 0.071, 0.272], [0.884, 0.290, 0.941]],
  "formation_energy_uncorrected_ev_per_atom": -1.209,
  "sg": "P-1, No. 2",
  "crystal_system": "triclinic"
}

{
  "formula": "MgGa2Pb",
  "functional": "PBE",
  "state": "relaxed",
  "lattice": [[4.498, 0.000, 0.000], [0.000, 4.498, 0.000], [0.000, 0.000, 4.459]],
  "species": ["Mg", "Ga", "Ga", "Pb"],
  "frac_coords": [[0.000, 0.000, 0.000], [0.000, 0.500, 0.500], [0.500, 0.000, 0.500], [0.500, 0.500, 0.000]],
  "delta_e_f_kcal_per_mol_atoms": 0.19,
  "sg": "P4/mmm, No. 123",
  "polymorph_energy_ev_per_atom": 0.004,
  "crystal_system": "tetragonal"
}

{
  "formula": "Ba3AsO",
  "functional": "PBE",
  "state": "relaxed",
  "lattice": [[13.476, -2.408, 0.000], [13.476, 2.408, 0.000], [-1.148, 0.000, 5.504]],
  "species": ["Ba", "Ba", "Ba", "Ba", "Ba", "Ba", "As", "As", "O", "O"],
  "frac_coords": [[0.047, 0.047, 0.295], [0.149, 0.149, 0.894], [0.324, 0.324, 0.581], [0.676, 0.676, 0.419], [0.851, 0.851, 0.106], [0.953, 0.953, 0.705], [0.431, 0.431, 0.181], [0.569, 0.569, 0.819], [0.143, 0.143, 0.391], [0.857, 0.857, 0.609]],
  "formation_energy_uncorrected_ev_per_atom": -1.427,
  "sg": "C2/m, No. 12",
  "polymorph_energy_ev_per_atom": 0.006,
  "crystal_system": "monoclinic"
}

{
  "formula": "Ba3In2Sn4",
  "functional": "PBE",
  "state": "relaxed",
  "lattice": [[6.800, -2.433, 0.000], [6.800, 2.433, 0.000], [-3.410, 0.000, 9.535]],
  "species": ["Ba", "Ba", "Ba", "In", "In", "Sn", "Sn", "Sn", "Sn"],
  "frac_coords": [[0.000, 0.000, 0.000], [0.386, 0.386, 0.315], [0.614, 0.614, 0.685], [0.298, 0.298, 0.655], [0.702, 0.702, 0.345], [0.096, 0.096, 0.394], [0.294, 0.294, 0.952], [0.706, 0.706, 0.048], [0.904, 0.904, 0.606]],
  "delta_e_f_kcal_per_mol_atoms": -12.62,
  "sg": "C2/m, No. 12",
  "crystal_system": "monoclinic"
}

{
  "formula": "Li2AcTlPb2",
  "functional": "PBE",
  "state": "relaxed",
  "lattice": [[4.968, 0.000, 0.000], [-2.484, 4.303, 0.000], [0.000, 0.000, 7.680]],
  "species": ["Li", "Li", "Ac", "Tl", "Pb", "Pb"],
  "frac_coords": [[0.333, 0.667, 0.147], [0.667, 0.333, 0.853], [0.000, 0.000, 0.500], [0.000, 0.000, 0.000], [0.333, 0.667, 0.744], [0.667, 0.333, 0.256]],
  "delta_e_f_kcal_per_mol_atoms": -7.44,
  "sg": "P-3m1, No. 164",
  "crystal_system": "trigonal"
}

{
  "formula": "Ba2LaOs",
  "functional": "PBE",
  "state": "relaxed",
  "lattice": [[3.176, -5.109, 0.000], [3.176, 5.109, 0.000], [0.000, 0.000, 4.017]],
  "species": ["Ba", "Ba", "La", "Os"],
  "frac_coords": [[0.000, 0.500, 0.000], [0.500, 0.000, 0.000], [0.000, 0.000, 0.500], [0.500, 0.500, 0.500]],
  "delta_e_f_kcal_per_mol_atoms": 20.38,
  "sg": "Cmmm, No. 65",
  "polymorph_energy_ev_per_atom": 0.690,
  "crystal_system": "orthorhombic"
}

{
  "formula": "SrPmSbPb",
  "functional": "PBE",
  "state": "relaxed",
  "lattice": [[0.000, 3.993, 3.993], [3.993, 0.000, 3.993], [3.993, 3.993, 0.000]],
  "species": ["Sr", "Pm", "Sb", "Pb"],
  "frac_coords": [[0.000, 0.000, 0.000], [0.500, 0.500, 0.500], [0.250, 0.250, 0.250], [0.750, 0.750, 0.750]],
  "formation_energy_uncorrected_ev_per_atom": -0.574,
  "sg": "F-43m, No. 216",
  "crystal_system": "cubic"
}

{
  "formula": "CePuVGa",
  "functional": "PBE",
  "state": "relaxed",
  "lattice": [[0.000, 3.398, 3.398], [3.398, 0.000, 3.398], [3.398, 3.398, 0.000]],
  "species": ["Ce", "Pu", "V", "Ga"],
  "frac_coords": [[0.000, 0.000, 0.000], [0.750, 0.750, 0.750], [0.250, 0.250, 0.250], [0.500, 0.500, 0.500]],
  "delta_e_f_kcal_per_mol_atoms": -1.56,
  "sg": "F-43m, No. 216",
  "crystal_system": "cubic"
}

{
  "formula": "BeTc2",
  "functional": "PBE",
  "state": "relaxed",
  "lattice": [[1.418, -6.497, 0.000], [1.418, 6.497, 0.000], [0.000, 0.000, 4.187]],
  "species": ["Be", "Be", "Tc", "Tc", "Tc", "Tc"],
  "frac_coords": [[0.110, 0.890, 0.750], [0.890, 0.110, 0.250], [0.224, 0.776, 0.250], [0.445, 0.555, 0.750], [0.555, 0.445, 0.250], [0.776, 0.224, 0.750]],
  "delta_e_f_kcal_per_mol_atoms": -1.14,
  "sg": "Cmcm, No. 63",
  "polymorph_energy_ev_per_atom": 0.219,
  "crystal_system": "orthorhombic"
}

{
  "formula": "MgBr2Cl",
  "functional": "PBE",
  "state": "relaxed",
  "lattice": [[4.967, 0.000, 0.000], [0.000, 4.967, 0.000], [0.000, 0.000, 3.946]],
  "species": ["Mg", "Br", "Br", "Cl"],
  "frac_coords": [[0.000, 0.000, 0.000], [0.000, 0.500, 0.500], [0.500, 0.000, 0.500], [0.500, 0.500, 0.000]],
  "formation_energy_uncorrected_ev_per_atom": -0.299,
  "sg": "P4/mmm, No. 123",
  "polymorph_energy_ev_per_atom": 0.691,
  "crystal_system": "tetragonal"
}

So what do the calculations give for mass density? Going down the list: 7.78; 12.35; 13.09; 2.99; 2.57; 6.83; 4.68; 5.87; 8.70; 7.69; 7.32; 10.68; 8.82; 3.74 Mg/m³.
So what do the calculations give for total magnetic moment? Going down the list: 0.07; 0.00; 0.00; 0.00; 0.41; 0.00; 0.00; 0.00; 0.00; 0.00; 0.00; 0.60; 0.00; 0.24 μB/atom.